[1]
A geometry-optimized YTaHg2 structure, computed with GGA-PBE.

Cell and atoms, written as CIF:
```
data_YTaHg2
_chemical_formula_sum 'Y2 Ta2 Hg4'
_cell_length_a 6.4417
_cell_length_b 8.4709
_cell_length_c 3.1840
_cell_angle_alpha 90.00
_cell_angle_beta 90.00
_cell_angle_gamma 90.00
_symmetry_space_group_name_H-M 'C m m m'
_symmetry_Int_Tables_number 65
_symmetry_space_group_name_Hall '-C 2 2'
loop_
_atom_site_label
_atom_site_fract_x
_atom_site_fract_y
_atom_site_fract_z
_atom_site_occupancy
Y1 0.0000 0.0000 0.0000 1
Ta1 0.0000 0.5000 0.0000 1
Hg1 0.2500 0.2500 0.5000 1
```

Output
* energy of formation from the pure elements: 12 kJ per mole of atoms
* M_tot: 0.0 μB/f.u.
* energy above the most stable polymorph in this dataset: 15.7 kJ/mol of formula units

[2]
A geometry-optimized YTa2Hg structure, computed with GGA-PBE.

Cell and atoms, written as CIF:
```
data_YTa2Hg
_chemical_formula_sum 'Y4 Ta8 Hg4'
_cell_length_a 6.9442
_cell_length_b 6.9442
_cell_length_c 6.9442
_cell_angle_alpha 90.00
_cell_angle_beta 90.00
_cell_angle_gamma 90.00
_symmetry_space_group_name_H-M 'F -4 3 m'
_symmetry_Int_Tables_number 216
_symmetry_space_group_name_Hall 'F -4 2 3'
loop_
_atom_site_label
_atom_site_fract_x
_atom_site_fract_y
_atom_site_fract_z
_atom_site_occupancy
Y1 0.0000 0.0000 0.0000 1
Ta1 0.0000 0.0000 0.5000 1
Ta2 0.2500 0.2500 0.2500 1
Hg1 0.2500 0.2500 0.7500 1
```

Output
* energy of formation from the pure elements: 31 kJ per mole of atoms
* M_tot: 0.0 μB/f.u.

[3]
A geometry-optimized YTaHg2 structure, computed with GGA-PBE.

Cell and atoms, written as CIF:
```
data_YTaHg2
_chemical_formula_sum 'Y1 Ta1 Hg2'
_cell_length_a 3.1884
_cell_length_b 3.1884
_cell_length_c 8.9039
_cell_angle_alpha 90.00
_cell_angle_beta 90.00
_cell_angle_gamma 90.00
_symmetry_space_group_name_H-M 'P 4 m m'
_symmetry_Int_Tables_number 99
loop_
_symmetry_equiv_pos_as_xyz
'x,y,z'
'-y,x,z'
'-x,-y,z'
'y,-x,z'
'-x,y,z'
'y,x,z'
'x,-y,z'
'-y,-x,z'
loop_
_atom_site_label
_atom_site_fract_x
_atom_site_fract_y
_atom_site_fract_z
_atom_site_occupancy
Y1 0.0000 0.0000 0.0000 1
Ta1 0.5000 0.5000 0.7416 1
Hg1 0.0000 0.0000 0.5193 1
Hg2 0.5000 0.5000 0.2628 1
```

Output
* energy of formation from the pure elements: 13 kJ per mole of atoms
* M_tot: 0.0 μB/f.u.
* energy above the most stable polymorph in this dataset: 20.4 kJ/mol of formula units

[4]
A geometry-optimized Y3TaHg structure, computed with GGA-PBE.

Cell and atoms, written as CIF:
```
data_Y3TaHg
_chemical_formula_sum 'Y3 Ta1 Hg1'
_cell_length_a 5.5315
_cell_length_b 5.5315
_cell_length_c 5.5315
_cell_angle_alpha 90.00
_cell_angle_beta 90.00
_cell_angle_gamma 90.00
_symmetry_space_group_name_H-M 'P m -3 m'
_symmetry_Int_Tables_number 221
_symmetry_space_group_name_Hall '-P 4 2 3'
loop_
_atom_site_label
_atom_site_fract_x
_atom_site_fract_y
_atom_site_fract_z
_atom_site_occupancy
Y1 0.0000 0.0000 0.5000 1
Ta1 0.5000 0.5000 0.5000 1
Hg1 0.0000 0.0000 0.0000 1
```

Output
* energy of formation from the pure elements: 93 kJ per mole of atoms
* M_tot: 3.6 μB/f.u.
* energy above the most stable polymorph in this dataset: 186.5 kJ/mol of formula units

[5]
A geometry-optimized YTaHg2 structure, computed with GGA-PBE.

Cell and atoms, written as CIF:
```
data_YTaHg2
_chemical_formula_sum 'Y1 Ta1 Hg2'
_cell_length_a 3.1648
_cell_length_b 3.1648
_cell_length_c 8.6405
_cell_angle_alpha 90.00
_cell_angle_beta 90.00
_cell_angle_gamma 90.00
_symmetry_space_group_name_H-M 'P 4/m m m'
_symmetry_Int_Tables_number 123
_symmetry_space_group_name_Hall '-P 4 2'
loop_
_atom_site_label
_atom_site_fract_x
_atom_site_fract_y
_atom_site_fract_z
_atom_site_occupancy
Y1 0.0000 0.0000 0.0000 1
Ta1 0.0000 0.0000 0.5000 1
Hg1 0.5000 0.5000 0.2647 1
```

Output
* energy of formation from the pure elements: 8 kJ per mole of atoms
* M_tot: 0.0 μB/f.u.
* energy above the most stable polymorph in this dataset: 0.0 kJ/mol of formula units

[6]
A geometry-optimized YTaHg2 structure, computed with GGA-PBE.

Cell and atoms, written as CIF:
```
data_YTaHg2
_chemical_formula_sum 'Y2 Ta2 Hg4'
_cell_length_a 11.5266
_cell_length_b 3.1799
_cell_length_c 5.3817
_cell_angle_alpha 90.00
_cell_angle_beta 115.55
_cell_angle_gamma 90.00
_symmetry_space_group_name_H-M 'C 1 m 1'
_symmetry_Int_Tables_number 8
loop_
_symmetry_equiv_pos_as_xyz
'x,y,z'
'x,-y,z'
'x+1/2,y+1/2,z'
'x+1/2,-y+1/2,z'
loop_
_atom_site_label
_atom_site_fract_x
_atom_site_fract_y
_atom_site_fract_z
_atom_site_occupancy
Y1 0.0000 0.0000 0.0000 1
Ta1 0.2495 0.5000 0.3777 1
Hg1 0.2412 0.0000 0.8619 1
Hg2 0.4904 0.0000 0.4762 1
```

Output
* energy of formation from the pure elements: 17 kJ per mole of atoms
* M_tot: 0.0 μB/f.u.
* energy above the most stable polymorph in this dataset: 33.4 kJ/mol of formula units

[7]
A geometry-optimized YTaHg2 structure, computed with GGA-PBE.

Cell and atoms, written as CIF:
```
data_YTaHg2
_chemical_formula_sum 'Y4 Ta4 Hg8'
_cell_length_a 4.4732
_cell_length_b 4.4732
_cell_length_c 20.3067
_cell_angle_alpha 90.00
_cell_angle_beta 90.00
_cell_angle_gamma 90.00
_symmetry_space_group_name_H-M 'I -4 2 d'
_symmetry_Int_Tables_number 122
_symmetry_space_group_name_Hall 'I -4 2bw'
loop_
_atom_site_label
_atom_site_fract_x
_atom_site_fract_y
_atom_site_fract_z
_atom_site_occupancy
Y1 0.0000 0.0000 0.0000 1
Ta1 0.0000 0.0000 0.5000 1
Hg1 0.2160 0.2500 0.6250 1
```

Output
* energy of formation from the pure elements: 56 kJ per mole of atoms
* M_tot: 0.0 μB/f.u.
* energy above the most stable polymorph in this dataset: 188.8 kJ/mol of formula units

[8]
A geometry-optimized YTaHg2 structure, computed with GGA-PBE.

Cell and atoms, written as CIF:
```
data_YTaHg2
_chemical_formula_sum 'Y2 Ta2 Hg4'
_cell_length_a 4.5758
_cell_length_b 4.5758
_cell_length_c 8.4283
_cell_angle_alpha 90.00
_cell_angle_beta 90.00
_cell_angle_gamma 90.00
_symmetry_space_group_name_H-M 'I 4/m m m'
_symmetry_Int_Tables_number 139
_symmetry_space_group_name_Hall '-I 4 2'
loop_
_atom_site_label
_atom_site_fract_x
_atom_site_fract_y
_atom_site_fract_z
_atom_site_occupancy
Y1 0.0000 0.0000 0.0000 1
Ta1 0.0000 0.0000 0.5000 1
Hg1 0.0000 0.5000 0.2500 1
```

Output
* energy of formation from the pure elements: 15 kJ per mole of atoms
* M_tot: 0.9 μB/f.u.
* energy above the most stable polymorph in this dataset: 27.2 kJ/mol of formula units

[9]
A geometry-optimized YTa3Hg structure, computed with GGA-PBE.

Cell and atoms, written as CIF:
```
data_YTa3Hg
_chemical_formula_sum 'Y1 Ta3 Hg1'
_cell_length_a 5.0966
_cell_length_b 5.0966
_cell_length_c 5.0966
_cell_angle_alpha 90.00
_cell_angle_beta 90.00
_cell_angle_gamma 90.00
_symmetry_space_group_name_H-M 'P m -3 m'
_symmetry_Int_Tables_number 221
_symmetry_space_group_name_Hall '-P 4 2 3'
loop_
_atom_site_label
_atom_site_fract_x
_atom_site_fract_y
_atom_site_fract_z
_atom_site_occupancy
Y1 0.0000 0.0000 0.0000 1
Ta1 0.0000 0.5000 0.5000 1
Hg1 0.5000 0.5000 0.5000 1
```

Output
* energy of formation from the pure elements: 171 kJ per mole of atoms
* M_tot: 0.0 μB/f.u.
* energy above the most stable polymorph in this dataset: 0.0 kJ/mol of formula units

[10]
A geometry-optimized YTaHg2 structure, computed with GGA-PBE.

Cell and atoms, written as CIF:
```
data_YTaHg2
_chemical_formula_sum 'Y1 Ta1 Hg2'
_cell_length_a 3.2110
_cell_length_b 4.1876
_cell_length_c 6.5071
_cell_angle_alpha 90.00
_cell_angle_beta 90.13
_cell_angle_gamma 90.00
_symmetry_space_group_name_H-M 'P 1 2/m 1'
_symmetry_Int_Tables_number 10
loop_
_symmetry_equiv_pos_as_xyz
'x,y,z'
'-x,-y,-z'
'-x,y,-z'
'x,-y,z'
loop_
_atom_site_label
_atom_site_fract_x
_atom_site_fract_y
_atom_site_fract_z
_atom_site_occupancy
Y1 0.0000 0.0000 0.0000 1
Ta1 0.0000 0.0000 0.5000 1
Hg1 0.4993 0.5000 0.7295 1
```

Output
* energy of formation from the pure elements: 9 kJ per mole of atoms
* M_tot: 0.0 μB/f.u.
* energy above the most stable polymorph in this dataset: 3.9 kJ/mol of formula units

[11]
A geometry-optimized YTaHg3 structure, computed with GGA-PBE.

Cell and atoms, written as CIF:
```
data_YTaHg3
_chemical_formula_sum 'Y1 Ta1 Hg3'
_cell_length_a 5.6205
_cell_length_b 5.6205
_cell_length_c 5.6205
_cell_angle_alpha 90.00
_cell_angle_beta 90.00
_cell_angle_gamma 90.00
_symmetry_space_group_name_H-M 'P m -3 m'
_symmetry_Int_Tables_number 221
_symmetry_space_group_name_Hall '-P 4 2 3'
loop_
_atom_site_label
_atom_site_fract_x
_atom_site_fract_y
_atom_site_fract_z
_atom_site_occupancy
Y1 0.0000 0.0000 0.0000 1
Ta1 0.5000 0.5000 0.5000 1
Hg1 0.0000 0.0000 0.5000 1
```

Output
* energy of formation from the pure elements: 142 kJ per mole of atoms
* M_tot: 3.7 μB/f.u.
* energy above the most stable polymorph in this dataset: 419.0 kJ/mol of formula units

[12]
A geometry-optimized YTa2Hg structure, computed with GGA-PBE.

Cell and atoms, written as CIF:
```
data_YTa2Hg
_chemical_formula_sum 'Y1 Ta2 Hg1'
_cell_length_a 3.0311
_cell_length_b 3.0311
_cell_length_c 9.2579
_cell_angle_alpha 90.00
_cell_angle_beta 90.00
_cell_angle_gamma 90.00
_symmetry_space_group_name_H-M 'P 4 m m'
_symmetry_Int_Tables_number 99
loop_
_symmetry_equiv_pos_as_xyz
'x,y,z'
'-y,x,z'
'-x,-y,z'
'y,-x,z'
'-x,y,z'
'y,x,z'
'x,-y,z'
'-y,-x,z'
loop_
_atom_site_label
_atom_site_fract_x
_atom_site_fract_y
_atom_site_fract_z
_atom_site_occupancy
Y1 0.0000 0.0000 0.0000 1
Ta1 0.0000 0.0000 0.5089 1
Ta2 0.5000 0.5000 0.7370 1
Hg1 0.5000 0.5000 0.2683 1
```

Output
* energy of formation from the pure elements: 24 kJ per mole of atoms
* M_tot: 0.0 μB/f.u.